A plane-wave DFT calculation with GGA-PBE was carried out for crystalline Cd2AgAs at its relaxed geometry.

Calculated values
V = 20.55 Å³ per atom
Mass density = 8.2 Mg/m³
Energy relative to the elements = 0.077 eV/atom
Space group = No. 119
E = -2.2561 eV per atom

a b c (Å): 5.3746 5.3746 5.3746
angles (deg): 132.74 132.74 69.06
Last column: nearest neighbours and their distance in Å.
Atoms (fractional coordinates):
As 0.7500 0.2500 0.5000  8 Cd 3.05-3.09, 4 Ag 3.09
Ag 0.5000 0.5000 0.0000  8 Cd 3.05-3.09, 4 As 3.09
Cd 0.0000 0.0000 0.0000  4 Ag 3.05, 4 As 3.09, 4 Cd 3.09
Cd 0.2500 0.7500 0.5000  4 As 3.05, 4 Ag 3.09, 4 Cd 3.09

=====

A plane-wave DFT calculation with GGA-PBE was carried out for crystalline KRb2Mg2Br7 at its relaxed geometry.

Calculated values
V = 33.51 Å³ per atom
Mass density = 3.4 Mg/m³
Space group = No. 139
E = -3.0902 eV per atom

a b c (Å): 5.3851 5.3851 14.3814
angles (deg): 79.19 79.19 89.99
Last column: nearest neighbours and their distance in Å.
Atoms (fractional coordinates):
K 0.0000 0.0000 0.0000  12 Br 3.74-3.81
Rb 0.8191 0.8191 0.3615  9 Br 3.48-3.83
Rb 0.1809 0.1809 0.6385  9 Br 3.48-3.83
Mg 0.5980 0.5980 0.8029  6 Br 2.64-2.73
Mg 0.4020 0.4020 0.1971  6 Br 2.64-2.73
Br 0.5000 0.5000 0.0000  2 Mg 2.73
Br 0.3061 0.3061 0.3873  1 Mg 2.64
Br 0.6939 0.6939 0.6127  1 Mg 2.64
Br 0.9063 0.4061 0.1875  2 Mg 2.69-2.70
Br 0.4061 0.9063 0.1875  2 Mg 2.69-2.70
Br 0.5939 0.0937 0.8125  2 Mg 2.69-2.70
Br 0.0937 0.5939 0.8125  2 Mg 2.69-2.70

=====

A plane-wave DFT calculation with GGA-PBE was carried out for crystalline InCoMo2 at its relaxed geometry.

Calculated values
V = 16.00 Å³ per atom
Mass density = 9.5 Mg/m³
Energy relative to the elements = 0.412 eV/atom
Space group = No. 160
E = -7.4643 eV per atom

a b c (Å): 9.2231 9.2231 9.2231
angles (deg): 17.80 17.80 17.80
Last column: nearest neighbours and their distance in Å.
Atoms (fractional coordinates):
Co 0.5039 0.5039 0.5039  3 Mo 2.57, 3 In 2.76, 6 Co 2.85
In 0.7558 0.7558 0.7558  3 Co 2.76, 6 In 2.85, 3 Mo 2.99
Mo 0.9973 0.9973 0.9973  9 Mo 2.85-2.90, 3 In 2.99
Mo 0.2429 0.2429 0.2429  3 Co 2.57, 6 Mo 2.85

=====

A plane-wave DFT calculation with GGA-PBE was carried out for crystalline Rb2NiBrCl5 at its relaxed geometry.

Calculated values
V = 28.82 Å³ per atom
Mass density = 3.1 Mg/m³
Space group = No. 107
E = -3.1752 eV per atom

a b c (Å): 7.1257 7.1257 7.1257
angles (deg): 91.66 119.04 119.04
Last column: nearest neighbours and their distance in Å.
Atoms (fractional coordinates):
Rb 0.5000 0.2510 0.7510  10 Cl 3.57-3.62, 2 Br 3.62
Rb 0.5000 0.7510 0.2510  10 Cl 3.57-3.62, 2 Br 3.62
Ni 0.0000 0.0025 0.0025  5 Cl 2.25-2.27, 1 Br 2.41
Br 0.0000 0.7598 0.7598  1 Ni 2.41
Cl 0.4401 0.2213 0.2213  1 Ni 2.25
Cl 0.5599 0.7812 0.7812  1 Ni 2.25
Cl 0.0000 0.7812 0.2213  1 Ni 2.25
Cl 0.0000 0.2213 0.7812  1 Ni 2.25
Cl 0.0000 0.2308 0.2308  1 Ni 2.27

=====

A plane-wave DFT calculation with GGA-PBE was carried out for crystalline Pa2Ga2Tc2C at its relaxed geometry.

Calculated values
V = 17.88 Å³ per atom
Mass density = 10.7 Mg/m³
Energy relative to the elements = -0.293 eV/atom
Space group = No. 12
E = -8.1507 eV per atom

a b c (Å): 3.9463 5.8266 6.3013
angles (deg): 70.42 71.75 70.21
Last column: nearest neighbours and their distance in Å.
Atoms (fractional coordinates):
Pa 0.5642 0.1520 0.7195  2 C 2.59
Pa 0.4358 0.8480 0.2805  2 C 2.59
Ga 0.1382 0.3824 0.3412  1 Ga 2.56, 3 Tc 2.58-2.62
Ga 0.8618 0.6176 0.6588  1 Ga 2.56, 3 Tc 2.58-2.62
Tc 0.2037 0.6736 0.9190  1 C 1.97
Tc 0.7963 0.3264 0.0810  1 C 1.97
C 0.0000 0.0000 0.0000  2 Tc 1.97

=====

A plane-wave DFT calculation with GGA-PBE was carried out for crystalline TlNiPb2 at its relaxed geometry.

Calculated values
V = 27.45 Å³ per atom
Mass density = 10.2 Mg/m³
Energy relative to the elements = 0.144 eV/atom
Space group = No. 38
Energy above the most stable polymorph in this dataset = 36 meV per atom
E = -3.7470 eV per atom

a b c (Å): 3.6120 6.4681 6.4677
angles (deg): 46.62 90.00 90.00
Last column: nearest neighbours and their distance in Å.
Atoms (fractional coordinates):
Ni 0.5000 0.7581 0.7581  4 Pb 2.57-2.66, 2 Tl 2.75
Pb 0.0000 0.9220 0.9221  2 Ni 2.66
Pb 0.5000 0.2369 0.2369  2 Ni 2.57
Tl 0.0000 0.5830 0.5830  2 Ni 2.75

=====

A plane-wave DFT calculation with GGA-PBE was carried out for crystalline LaFe2Cl at its relaxed geometry.

Calculated values
V = 22.29 Å³ per atom
Mass density = 5.3 Mg/m³
Space group = No. 1
Energy above the most stable polymorph in this dataset = 0 meV per atom
E = -6.1348 eV per atom

a b c (Å): 3.9397 6.9289 3.9833
angles (deg): 106.76 120.30 75.38
Last column: nearest neighbours and their distance in Å.
Atoms (fractional coordinates):
Cl 0.9805 0.2445 0.6113  1 Fe 2.39
Fe 0.8205 0.8248 0.8233  3 Fe 2.31-2.32
Fe 0.1367 0.8825 0.5105  3 Fe 2.31-2.32, 1 Cl 2.39
La 0.5623 0.5482 0.0549  6 Fe 2.92-3.19, 3 Cl 3.00-3.05

=====

A plane-wave DFT calculation with GGA-PBE was carried out for crystalline ScPI2O at its relaxed geometry.

Calculated values
V = 23.39 Å³ per atom
Mass density = 4.9 Mg/m³
Space group = No. 123
Energy above the most stable polymorph in this dataset = 334 meV per atom
E = -4.2381 eV per atom

a b c (Å): 5.7309 5.7309 3.5604
angles (deg): 90.00 90.00 90.00
Last column: nearest neighbours and their distance in Å.
Atoms (fractional coordinates):
I 0.0000 0.5000 0.0000  2 P 2.87
I 0.5000 0.0000 0.0000  2 P 2.87
Sc 0.5000 0.5000 0.5000  8 I 3.37, 2 Sc 3.56
O 0.0000 0.0000 0.5000  2 P 1.78
P 0.0000 0.0000 0.0000  2 O 1.78